{
  "formula": "Ba2MnCo",
  "functional": "PBE-GGA",
  "state": "relaxed",
  "crystal_system": "monoclinic",
  "formation_energy_ev_per_atom": 0.888,
  "space_group": "C2/m",
  "lattice_angstrom": [[3.905, -1.934, 0.000], [3.905, 1.934, 0.000], [-1.782, 0.000, 9.114]],
  "species": ["Ba", "Ba", "Mn", "Co"],
  "fractional_positions": [[0.237, 0.237, 0.214], [0.763, 0.763, 0.786], [0.000, 0.000, 0.500], [0.500, 0.500, 0.000]]
}

***

{
  "formula": "IrPtPb2O",
  "functional": "PBE-GGA",
  "state": "relaxed",
  "crystal_system": "triclinic",
  "raw_formation_energy_mev_per_atom": -168,
  "space_group": "P-1",
  "lattice_angstrom": [[3.730, 0.000, 0.000], [0.947, 3.649, 0.000], [1.151, 1.050, 7.816]],
  "species": ["Ir", "Pt", "Pb", "Pb", "O"],
  "fractional_positions": [[0.000, 0.000, 0.000], [0.500, 0.000, 0.500], [0.054, 0.569, 0.710], [0.946, 0.431, 0.290], [0.500, 0.000, 0.000]]
}

***

{
  "formula": "Be2CuTc",
  "functional": "PBE-GGA",
  "state": "relaxed",
  "crystal_system": "monoclinic",
  "formation_energy_ev_per_atom": -0.048,
  "space_group": "Cm",
  "lattice_angstrom": [[4.356, -1.252, 0.000], [4.356, 1.252, 0.000], [-1.350, 0.000, 3.975]],
  "species": ["Be", "Be", "Cu", "Tc"],
  "fractional_positions": [[0.000, 0.000, 0.000], [0.718, 0.718, 0.342], [0.465, 0.465, 0.477], [0.244, 0.244, 0.859]]
}

***

{
  "formula": "La4Tb7Sc",
  "functional": "PBE-GGA",
  "state": "relaxed",
  "crystal_system": "monoclinic",
  "formation_energy_ev_per_atom": 0.179,
  "space_group": "C2/m",
  "lattice_angstrom": [[5.787, -2.693, 0.000], [5.787, 2.693, 0.000], [-3.405, 0.000, 12.877]],
  "species": ["La", "La", "La", "La", "Tb", "Tb", "Tb", "Tb", "Tb", "Tb", "Tb", "Sc"],
  "fractional_positions": [[0.036, 0.036, 0.282], [0.318, 0.318, 0.240], [0.682, 0.682, 0.760], [0.964, 0.964, 0.718], [0.137, 0.137, 0.966], [0.268, 0.268, 0.599], [0.411, 0.411, 0.872], [0.500, 0.500, 0.500], [0.589, 0.589, 0.128], [0.732, 0.732, 0.401], [0.863, 0.863, 0.034], [0.000, 0.000, 0.500]]
}

***

{
  "formula": "Er2TmMg2Sc2",
  "functional": "PBE-GGA",
  "state": "relaxed",
  "crystal_system": "trigonal",
  "formation_energy_ev_per_atom": 0.022,
  "space_group": "R-3m",
  "lattice_angstrom": [[2.628, 1.517, 7.698], [-2.628, 1.517, 7.698], [0.000, -3.034, 7.698]],
  "species": ["Er", "Er", "Tm", "Mg", "Mg", "Sc", "Sc"],
  "fractional_positions": [[0.154, 0.154, 0.154], [0.846, 0.846, 0.846], [0.000, 0.000, 0.000], [0.290, 0.290, 0.290], [0.710, 0.710, 0.710], [0.428, 0.428, 0.428], [0.572, 0.572, 0.572]]
}

***

{
  "formula": "Tm6ZnAg",
  "functional": "PBE-GGA",
  "state": "relaxed",
  "crystal_system": "tetragonal",
  "formation_energy_ev_per_atom": -0.146,
  "space_group": "I4/mmm",
  "lattice_angstrom": [[-2.478, 2.478, 8.614], [2.478, -2.478, 8.614], [2.478, 2.478, -8.614]],
  "species": ["Tm", "Tm", "Tm", "Tm", "Tm", "Tm", "Zn", "Ag"],
  "fractional_positions": [[0.107, 0.607, 0.500], [0.249, 0.249, 0.000], [0.393, 0.893, 0.500], [0.607, 0.107, 0.500], [0.751, 0.751, 0.000], [0.893, 0.393, 0.500], [0.000, 0.000, 0.000], [0.500, 0.500, 0.000]]
}

***

{
  "formula": "Hg4SbW",
  "functional": "PBE-GGA",
  "state": "relaxed",
  "crystal_system": "cubic",
  "raw_formation_energy_mev_per_atom": 983,
  "space_group": "F-43m",
  "lattice_angstrom": [[0.000, 4.114, 4.114], [4.114, 0.000, 4.114], [4.114, 4.114, 0.000]],
  "species": ["Hg", "Hg", "Hg", "Hg", "Sb", "W"],
  "fractional_positions": [[0.125, 0.125, 0.125], [0.125, 0.125, 0.624], [0.125, 0.624, 0.125], [0.624, 0.125, 0.125], [0.750, 0.750, 0.750], [0.500, 0.500, 0.500]]
}

***

{
  "formula": "TbMg2Ru",
  "functional": "PBE-GGA",
  "state": "relaxed",
  "crystal_system": "cubic",
  "formation_energy_ev_per_atom": 0.076,
  "space_group": "Fm-3m",
  "lattice_angstrom": [[0.000, 3.408, 3.408], [3.408, 0.000, 3.408], [3.408, 3.408, 0.000]],
  "species": ["Tb", "Mg", "Mg", "Ru"],
  "fractional_positions": [[0.000, 0.000, 0.000], [0.250, 0.250, 0.250], [0.750, 0.750, 0.750], [0.500, 0.500, 0.500]]
}

***

no.,VASP energy (eV per cell)
1,-16.569
2,-28.119
3,-22.106
4,-56.301
5,-29.299
6,-32.124
7,-12.385
8,-16.791